Entry w
VASP calculation (GGA-PBE) on Pm8Y2Sc3 after structural relaxation.

- spin magnetization (μB/f.u.) = 0.00
- V (Å³/cell) = 837.6

```
data_Pm8Y2Sc3
_chemical_formula_sum 'Pm16 Y4 Sc6'
_cell_length_a 13.339
_cell_length_b 11.408
_cell_length_c 5.961
_cell_angle_alpha 90.00
_cell_angle_beta 112.57
_cell_angle_gamma 90.00
_symmetry_space_group_name_H-M 'C 1 2/m 1'
_symmetry_Int_Tables_number 12
loop_
_symmetry_equiv_pos_as_xyz
'x,y,z'
'-x,-y,-z'
'-x,y,-z'
'x,-y,z'
'x+1/2,y+1/2,z'
'-x+1/2,-y+1/2,-z'
'-x+1/2,y+1/2,-z'
'x+1/2,-y+1/2,z'
loop_
_atom_site_label
_atom_site_type_symbol
_atom_site_fract_x
_atom_site_fract_y
_atom_site_fract_z
Pm1 Pm 0.085 0.000 0.253
Pm2 Pm 0.137 0.500 0.616
Pm3 Pm 0.154 0.265 0.145
Y1 Y 0.183 0.000 0.821
Sc1 Sc 0.000 0.231 0.500
Sc2 Sc 0.000 0.500 0.000
```

---

Entry x
VASP calculation (GGA-PBE) on Pm8Y2Sc3 after structural relaxation.

- spin magnetization (μB/f.u.) = 0.00
- V (Å³/cell) = 871.4

```
data_Pm8Y2Sc3
_chemical_formula_sum 'Pm16 Y4 Sc6'
_cell_length_a 15.005
_cell_length_b 8.862
_cell_length_c 6.646
_cell_angle_alpha 90.00
_cell_angle_beta 99.56
_cell_angle_gamma 90.00
_symmetry_space_group_name_H-M 'C 1 2/m 1'
_symmetry_Int_Tables_number 12
loop_
_symmetry_equiv_pos_as_xyz
'x,y,z'
'-x,-y,-z'
'-x,y,-z'
'x,-y,z'
'x+1/2,y+1/2,z'
'-x+1/2,-y+1/2,-z'
'-x+1/2,y+1/2,-z'
'x+1/2,-y+1/2,z'
loop_
_atom_site_label
_atom_site_type_symbol
_atom_site_fract_x
_atom_site_fract_y
_atom_site_fract_z
Pm1 Pm 0.091 0.000 0.402
Pm2 Pm 0.109 0.183 0.933
Pm3 Pm 0.189 0.500 0.314
Y1 Y 0.198 0.500 0.799
Sc1 Sc 0.000 0.339 0.500
Sc2 Sc 0.000 0.500 0.000
```

---

Going by the energies, entry w is most stable and the next is 0.059 eV/atom up.